1.
KSbMo2 PBE optimized geometry; energy relative to the elements, uncorrected = 1.073 eV per atom; spin magnetization = 0.00 μB per formula unit; SG = I-42d (122); total DFT energy (no corrections) = -5.65 eV per atom; D(E_F) = 1.18 states/eV/atom
1.0
-3.247 0.532 -3.360
-3.272 -1.761 2.883
-5.236 8.562 3.126
Sb Mo K
2 4 2
direct
0.000 0.000 0.000
0.750 0.250 0.500
0.943 0.125 0.250
0.807 0.625 0.250
0.375 0.057 0.750
0.875 0.193 0.750
0.500 0.500 0.000
0.250 0.750 0.500

=====

2.
Cs3Na4Hg4 PBE optimized geometry; spin magnetization = 0.00 μB per formula unit; SG = P-1 (2); energy of formation = -0.168 eV per atom; total DFT energy (no corrections) = -0.99 eV per atom; E above lowest polymorph = 0.0 meV/atom; D(E_F) = 0.43 states/eV/atom
1.0
5.326 0.001 0.005
0.002 5.333 0.003
2.667 2.649 16.711
Cs Na Hg
3 4 4
direct
0.148 0.651 0.702
0.852 0.349 0.298
0.000 0.000 0.000
0.600 0.100 0.802
0.248 0.250 0.500
0.752 0.750 0.500
0.400 0.900 0.198
0.550 0.547 0.908
0.450 0.453 0.092
0.310 0.805 0.388
0.690 0.195 0.612